The following is a DFT calculation (PBE-GGA) of crystalline K2CeI5 at its relaxed geometry.

abc: 9.310 9.935 14.696
angles: 90.00 90.00 90.00
Site moments in Bohr magnetons follow the coordinates.
Atoms (fractional coordinates):
I (0.167, 0.954, 0.422)  -0.01
I (0.429, 0.250, 0.492)  -0.01
I (0.667, 0.454, 0.078)  -0.01
Ce (0.922, 0.750, 0.505)  0.99
I (0.333, 0.546, 0.922)  -0.01
K (0.555, 0.002, 0.327)  0.00
I (0.167, 0.546, 0.422)  -0.01
K (0.555, 0.498, 0.327)  0.00
I (0.628, 0.250, 0.820)  -0.01
I (0.164, 0.250, 0.706)  -0.01
I (0.333, 0.954, 0.922)  -0.01
I (0.667, 0.046, 0.078)  -0.01
I (0.664, 0.750, 0.794)  -0.01
K (0.445, 0.502, 0.673)  0.00
I (0.571, 0.750, 0.508)  -0.01
I (0.836, 0.750, 0.294)  -0.01
I (0.071, 0.250, 0.992)  -0.01
K (0.945, 0.498, 0.827)  0.00
I (0.872, 0.250, 0.320)  -0.01
K (0.945, 0.002, 0.827)  0.00
I (0.372, 0.750, 0.180)  -0.01
K (0.445, 0.998, 0.673)  0.00
I (0.833, 0.046, 0.578)  -0.01
I (0.336, 0.250, 0.206)  -0.01
I (0.833, 0.454, 0.578)  -0.01
I (0.128, 0.750, 0.680)  -0.01
Ce (0.078, 0.250, 0.495)  0.99
Ce (0.422, 0.250, 0.995)  0.99
K (0.055, 0.998, 0.173)  0.00
I (0.929, 0.750, 0.008)  -0.01
Ce (0.578, 0.750, 0.005)  0.99
K (0.055, 0.502, 0.173)  0.00

## Properties
**DOS at the Fermi energy**: 34.611 states/eV/cell
**Energy relative to the elements, uncorrected**: -1426.5 meV/atom
**Electronic total energy**: -3.411 eV/atom